# Zr5Ir2Rh2

A geometry-optimized Zr5Ir2Rh2 structure (PBE-GGA, Alexandria).

Energy relative to the elements = -0.68 eV/atom
SG = No. 64
E = -162.5 eV for the cell shown

Unit cell a=6.776 b=6.732 c=8.438 alpha=113.51 beta=90.00 gamma=90.00
Fractional coordinates of all 18 atoms:
Zr (0.320, 0.678, 0.715)
Ir (0.000, 0.217, 0.434)
Zr (0.320, 0.962, 0.285)
Zr (0.500, 0.500, 0.000)
Zr (0.180, 0.462, 0.285)
Zr (0.820, 0.822, 0.285)
Zr (0.680, 0.322, 0.285)
Rh (0.864, 0.364, 0.000)
Ir (0.500, 0.283, 0.566)
Ir (0.000, 0.783, 0.566)
Zr (0.820, 0.538, 0.715)
Zr (0.680, 0.038, 0.715)
Rh (0.636, 0.864, 0.000)
Zr (0.180, 0.178, 0.715)
Zr (0.000, 0.000, 0.000)
Ir (0.500, 0.717, 0.434)
Rh (0.364, 0.136, 0.000)
Rh (0.136, 0.636, 0.000)

# CsCeI2O8

A geometry-optimized CsCeI2O8 structure (PBE-GGA, Alexandria).

SG = No. 12
E = -63.7 eV for the cell shown
Uncorrected formation energy = -14.19 eV/f.u.

Unit cell a=6.637 b=6.637 c=8.617 alpha=96.31 beta=96.31 gamma=56.45
Fractional coordinates of all 12 atoms:
Cs (0.000, 0.000, 0.500)
O (0.334, 0.784, 0.192)
O (0.784, 0.334, 0.192)
O (0.150, 0.150, 0.925)
O (0.270, 0.270, 0.614)
Ce (0.000, 0.000, 0.000)
O (0.730, 0.730, 0.386)
O (0.666, 0.216, 0.808)
O (0.850, 0.850, 0.075)
I (0.662, 0.662, 0.189)
I (0.338, 0.338, 0.811)
O (0.216, 0.666, 0.808)

# ScZn2Sn2

A geometry-optimized ScZn2Sn2 structure (PBE-GGA, Alexandria).

Energy relative to the elements = -0.14 eV/atom
ΔE to the lowest computed polymorph = 136 meV per atom
SG = No. 127
E = -35.2 eV for the cell shown

Unit cell a=7.556 b=7.556 c=3.692 alpha=90.00 beta=90.00 gamma=90.00
Fractional coordinates of all 10 atoms:
Sc (0.000, 0.000, 0.000)
Zn (0.121, 0.379, 0.000)
Sn (0.322, 0.178, 0.500)
Sn (0.678, 0.822, 0.500)
Sn (0.178, 0.678, 0.500)
Sc (0.500, 0.500, 0.000)
Zn (0.379, 0.879, 0.000)
Zn (0.621, 0.121, 0.000)
Sn (0.822, 0.322, 0.500)
Zn (0.879, 0.621, 0.000)

# ZnIn2SnAs4

A geometry-optimized ZnIn2SnAs4 structure (PBE-GGA, Alexandria).

Energy relative to the elements = -0.21 eV/atom
SG = No. 121
E = -31.0 eV for the cell shown

Unit cell a=7.438 b=7.438 c=7.438 alpha=131.95 beta=131.95 gamma=70.32
Fractional coordinates of all 8 atoms:
Zn (0.000, 0.000, 0.000)
As (0.641, 0.641, 0.522)
As (0.120, 0.120, 0.478)
In (0.250, 0.750, 0.500)
As (0.359, 0.880, 0.000)
In (0.750, 0.250, 0.500)
Sn (0.500, 0.500, 0.000)
As (0.880, 0.359, 0.000)

# HBr2F

A geometry-optimized HBr2F structure (PBE-GGA, Alexandria).

ΔE to the lowest computed polymorph = 0 meV per atom
SG = No. 166
E = -8.0 eV for the cell shown

Unit cell a=7.554 b=7.554 c=7.554 alpha=26.81 beta=26.81 gamma=26.81
Fractional coordinates of all 4 atoms:
Br (0.078, 0.078, 0.078)
H (0.000, 0.000, 0.000)
F (0.500, 0.500, 0.500)
Br (0.922, 0.922, 0.922)

- The highest E belongs to which entry?
  HBr2F